Entry 1:
A relaxed AcNdSm2Er crystal, computed with GGA-PBE.

Values from the calculation:
Calculated density ... 7428 kg/m3
Density of states at the Fermi level ... 14.18 states/eV/cell
Energy of formation ... 8.03 kcal/mol of atoms
E ... -4.227 eV per atom

```
AcNdSm2Er
1.0
4.178 -6.106 0.000
4.178 6.106 0.000
0.000 0.000 7.354
Ac Nd Sm Er
2 2 4 2
direct
0.243 0.757 0.750
0.757 0.243 0.250
0.059 0.941 0.250
0.941 0.059 0.750
0.305 0.305 0.000
0.305 0.305 0.500
0.695 0.695 0.000
0.695 0.695 0.500
0.309 0.691 0.250
0.691 0.309 0.750
```


Entry 2:
A relaxed KBaTl2Ni crystal, computed with GGA-PBE.

Values from the calculation:
Calculated density ... 6516 kg/m3
Density of states at the Fermi level ... 4.11 states/eV/cell
Energy of formation ... -0.54 kcal/mol of atoms
E ... -2.730 eV per atom

```
KBaTl2Ni
1.0
5.388 0.000 0.000
0.000 5.388 0.000
0.000 0.000 5.652
K Ba Tl Ni
1 1 2 1
direct
0.000 0.000 0.000
0.500 0.500 0.000
0.000 0.500 0.500
0.500 0.000 0.500
0.500 0.500 0.500
```


Entry 3:
A relaxed TbPuAg2 crystal, computed with GGA-PBE.

Values from the calculation:
Calculated density ... 10388 kg/m3
Density of states at the Fermi level ... 11.99 states/eV/cell
Energy of formation ... -1.29 kcal/mol of atoms
E ... -6.222 eV per atom

```
TbPuAg2
1.0
0.000 3.670 3.670
3.670 0.000 3.670
3.670 3.670 0.000
Tb Pu Ag
1 1 2
direct
0.000 0.000 0.000
0.500 0.500 0.500
0.250 0.250 0.250
0.750 0.750 0.750
```


Entry 4:
A relaxed MnB2H8 crystal, computed with GGA-PBE.

Values from the calculation:
Calculated density ... 1595 kg/m3
Density of states at the Fermi level ... 0.00 states/eV/cell
E ... -4.528 eV per atom

```
MnB2H8
1.0
-3.840 3.840 5.974
3.840 -3.840 5.974
3.840 3.840 -5.974
Mn B H
4 8 32
direct
0.125 0.875 0.250
0.375 0.625 0.750
0.625 0.375 0.250
0.875 0.125 0.750
0.231 0.250 0.481
0.250 0.269 0.019
0.250 0.769 0.519
0.269 0.750 0.019
0.731 0.250 0.981
0.750 0.231 0.481
0.750 0.731 0.981
0.769 0.750 0.519
0.090 0.674 0.930
0.109 0.851 0.486
0.124 0.365 0.514
0.135 0.376 0.986
0.149 0.135 0.259
0.160 0.090 0.916
0.174 0.590 0.430
0.244 0.160 0.570
0.256 0.826 0.916
0.326 0.756 0.416
0.340 0.256 0.930
0.351 0.609 0.986
0.365 0.351 0.241
0.376 0.891 0.241
0.391 0.876 0.741
0.410 0.340 0.584
0.590 0.660 0.416
0.609 0.124 0.259
0.624 0.109 0.759
0.635 0.649 0.759
0.649 0.391 0.014
0.660 0.744 0.070
0.674 0.244 0.584
0.744 0.174 0.084
0.756 0.840 0.430
0.826 0.410 0.570
0.840 0.910 0.084
0.851 0.865 0.741
0.865 0.624 0.014
0.876 0.635 0.486
0.891 0.149 0.514
0.910 0.326 0.070
```


Entry 5:
A relaxed CaReNiPt2 crystal, computed with GGA-PBE.

Values from the calculation:
Calculated density ... 11305 kg/m3
Density of states at the Fermi level ... 6.37 states/eV/cell
Energy of formation ... 13.28 kcal/mol of atoms
E ... -5.887 eV per atom

```
CaReNiPt2
1.0
4.777 0.000 0.000
0.000 4.777 0.000
0.000 0.000 4.345
Ca Re Ni Pt
1 1 1 2
direct
0.000 0.000 0.000
0.500 0.500 0.000
0.500 0.500 0.500
0.000 0.500 0.500
0.500 0.000 0.500
```


Entry 6:
A relaxed Zn7O6 crystal, computed with GGA-PBE.

Values from the calculation:
Calculated density ... 4935 kg/m3
Density of states at the Fermi level ... 0.00 states/eV/cell
E ... -4.151 eV per atom

```
Zn7O6
1.0
5.712 0.000 0.000
0.000 5.712 0.000
0.000 0.000 5.712
Zn O
7 6
direct
0.000 0.000 0.000
0.000 0.249 0.500
0.000 0.751 0.500
0.249 0.500 0.000
0.500 0.000 0.249
0.500 0.000 0.751
0.751 0.500 0.000
0.000 0.500 0.252
0.000 0.500 0.748
0.252 0.000 0.500
0.500 0.252 0.000
0.500 0.748 0.000
0.748 0.000 0.500
```


Entry 7:
A relaxed Pa2TiPt6 crystal, computed with GGA-PBE.

Values from the calculation:
Calculated density ... 16586 kg/m3
Density of states at the Fermi level ... 10.44 states/eV/cell
Energy of formation ... -21.12 kcal/mol of atoms
E ... -7.930 eV per atom

```
Pa2TiPt6
1.0
5.672 0.000 0.000
-2.836 4.912 0.000
0.000 0.000 6.038
Pa Ti Pt
2 1 6
direct
0.333 0.667 0.158
0.667 0.333 0.842
0.000 0.000 0.000
0.172 0.344 0.690
0.172 0.828 0.690
0.344 0.172 0.310
0.656 0.828 0.690
0.828 0.172 0.310
0.828 0.656 0.310
```


Entry 8:
A relaxed Tl4CdOs crystal, computed with GGA-PBE.

Values from the calculation:
Calculated density ... 11333 kg/m3
Density of states at the Fermi level ... 5.74 states/eV/cell
Energy of formation ... 24.66 kcal/mol of atoms
E ... -2.532 eV per atom

```
Tl4CdOs
1.0
0.000 4.346 4.346
4.346 0.000 4.346
4.346 4.346 0.000
Tl Cd Os
4 1 1
direct
0.125 0.125 0.125
0.125 0.125 0.624
0.125 0.624 0.125
0.624 0.125 0.125
0.750 0.750 0.750
0.500 0.500 0.500
```


> Look up the density of states at the Fermi level of the eighth one.

5.74 states/eV/cell


> The highest E belongs to which entry?

Tl4CdOs